Entry 1:
# Zr2ScAg

A relaxed Zr2ScAg crystal (GGA-PBE, Alexandria via LeMat-Bulk).

The space group is P4/mmm (No. 123) and the conventional cell measures 3.160, 3.160 and 8.728 Å, with angles of 90.00, 90.00 and 90.00 degrees. The distinct sites, in fractional coordinates, are Zr at (0.000, 0.000, 0.239), Sc at (0.500, 0.500, 0.500) and Ag at (0.500, 0.500, 0.000).

As for the energy relative to the elements: -15 meV/atom. The density comes out at 6.39 g/cm³. Its energy above the most stable polymorph in this dataset is 34 kJ/mol of formula units. As for the volume: 21.80 A^3/atom.

Entry 2:
# Zr3ScAg

A relaxed Zr3ScAg crystal (GGA-PBE, Alexandria via LeMat-Bulk).

The space group is Pm-3m (No. 221) and the conventional cell measures 5.027, 5.027 and 5.027 Å, with angles of 90.00, 90.00 and 90.00 degrees. The distinct sites, in fractional coordinates, are Zr at (0.000, 0.000, 0.500), Sc at (0.000, 0.000, 0.000) and Ag at (0.500, 0.500, 0.500).

As for the energy relative to the elements: 1132 meV/atom. The density comes out at 5.58 g/cm³. Its energy above the most stable polymorph in this dataset is 142 kJ/mol of formula units. As for the volume: 25.40 A^3/atom.

Entry 3:
# ZrScAg

A relaxed ZrScAg crystal (GGA-PBE, Alexandria via LeMat-Bulk).

The space group is Pnma (No. 62) and the conventional cell measures 6.424, 4.714 and 8.630 Å, with angles of 90.00, 90.00 and 90.00 degrees. The distinct sites, in fractional coordinates, are Zr at (0.155, 0.250, 0.063), Sc at (0.035, 0.250, 0.700) and Ag at (0.212, 0.250, 0.387).

As for the energy relative to the elements: -34 meV/atom. The density comes out at 6.20 g/cm³. Its energy above the most stable polymorph in this dataset is 34 kJ/mol of formula units. As for the volume: 21.78 A^3/atom.

Entry 4:
# ZrScAg

A relaxed ZrScAg crystal (GGA-PBE, Alexandria via LeMat-Bulk).

The space group is I4mm (No. 107) and the conventional cell measures 3.219, 3.219 and 12.372 Å, with angles of 90.00, 90.00 and 90.00 degrees. The distinct sites, in fractional coordinates, are Zr at (0.000, 0.000, 0.000), Sc at (0.000, 0.000, 0.326) and Ag at (0.000, 0.000, 0.668).

As for the energy relative to the elements: -130 meV/atom. The density comes out at 6.32 g/cm³. Its energy above the most stable polymorph in this dataset is 6 kJ/mol of formula units. As for the volume: 21.37 A^3/atom.

Entry 5:
# ZrScAg

A relaxed ZrScAg crystal (GGA-PBE, Alexandria via LeMat-Bulk).

The space group is P4/nmm (No. 129, origin choice 2) and the conventional cell measures 4.331, 4.331 and 7.083 Å, with angles of 90.00, 90.00 and 90.00 degrees. The distinct sites, in fractional coordinates, are Zr at (0.250, 0.250, 0.137), Sc at (0.250, 0.750, 0.500) and Ag at (0.250, 0.250, 0.761).

As for the energy relative to the elements: 76 meV/atom. The density comes out at 6.10 g/cm³. Its energy above the most stable polymorph in this dataset is 66 kJ/mol of formula units. As for the volume: 22.14 A^3/atom.

Entry 6:
# ZrScAg

A relaxed ZrScAg crystal (GGA-PBE, Alexandria via LeMat-Bulk).

The space group is F-43m (No. 216) and the conventional cell measures 6.620, 6.620 and 6.620 Å, with angles of 90.00, 90.00 and 90.00 degrees. The distinct sites, in fractional coordinates, are Zr at (0.000, 0.000, 0.000), Sc at (0.250, 0.250, 0.250) and Ag at (0.250, 0.250, 0.750).

As for the energy relative to the elements: 746 meV/atom. The density comes out at 5.59 g/cm³. Its energy above the most stable polymorph in this dataset is 260 kJ/mol of formula units. As for the volume: 24.17 A^3/atom.

Entry 7:
# ZrSc2Ag2

A relaxed ZrSc2Ag2 crystal (GGA-PBE, Alexandria via LeMat-Bulk).

The space group is P4/mbm (No. 127) and the conventional cell measures 8.073, 8.073 and 3.220 Å, with angles of 90.00, 90.00 and 90.00 degrees. The distinct sites, in fractional coordinates, are Zr at (0.000, 0.000, 0.000), Sc at (0.150, 0.350, 0.000) and Ag at (0.147, 0.647, 0.500).

As for the energy relative to the elements: -35 meV/atom. The density comes out at 6.28 g/cm³. Its energy above the most stable polymorph in this dataset is 30 kJ/mol of formula units. As for the volume: 20.99 A^3/atom.

Entry 8:
# ZrScAg

A relaxed ZrScAg crystal (GGA-PBE, Alexandria via LeMat-Bulk).

The space group is P4mm (No. 99) and the conventional cell measures 3.279, 3.279 and 11.878 Å, with angles of 90.00, 90.00 and 90.00 degrees. The distinct sites, in fractional coordinates, are Zr at (0.000, 0.000, 0.000), Zr at (0.500, 0.500, 0.180), Sc at (0.500, 0.500, 0.501), Sc at (0.500, 0.500, 0.815), Ag at (0.000, 0.000, 0.347) and Ag at (0.000, 0.000, 0.656).

As for the energy relative to the elements: -140 meV/atom. The density comes out at 6.35 g/cm³. Its energy above the most stable polymorph in this dataset is 3 kJ/mol of formula units. As for the volume: 21.29 A^3/atom.

Entry 9:
# ZrSc2Ag2

A relaxed ZrSc2Ag2 crystal (GGA-PBE, Alexandria via LeMat-Bulk).

The space group is Cmmm (No. 65) and the conventional cell measures 4.604, 14.430 and 3.232 Å, with angles of 90.00, 90.00 and 90.00 degrees. The distinct sites, in fractional coordinates, are Zr at (0.000, 0.000, 0.000), Sc at (0.000, 0.385, 0.500) and Ag at (0.000, 0.197, 0.000).

As for the energy relative to the elements: -75 meV/atom. The density comes out at 6.14 g/cm³. Its energy above the most stable polymorph in this dataset is 11 kJ/mol of formula units. As for the volume: 21.47 A^3/atom.

Entry 10:
# ZrSc2Ag

A relaxed ZrSc2Ag crystal (GGA-PBE, Alexandria via LeMat-Bulk).

The space group is Pmmm (No. 47) and the conventional cell measures 3.356, 4.923 and 5.257 Å, with angles of 90.00, 90.00 and 90.00 degrees. The distinct sites, in fractional coordinates, are Zr at (0.000, 0.000, 0.000), Sc at (0.000, 0.500, 0.500), Sc at (0.500, 0.500, 0.000) and Ag at (0.500, 0.000, 0.500).

As for the energy relative to the elements: 39 meV/atom. The density comes out at 5.52 g/cm³. Its energy above the most stable polymorph in this dataset is 73 kJ/mol of formula units. As for the volume: 21.72 A^3/atom.

Entry 11:
# ZrSc2Ag

A relaxed ZrSc2Ag crystal (GGA-PBE, Alexandria via LeMat-Bulk).

The space group is Immm (No. 71) and the conventional cell measures 3.429, 5.022 and 10.224 Å, with angles of 90.00, 90.00 and 90.00 degrees. The distinct sites, in fractional coordinates, are Zr at (0.000, 0.000, 0.000), Sc at (0.000, 0.500, 0.229) and Ag at (0.000, 0.000, 0.500).

As for the energy relative to the elements: -31 meV/atom. The density comes out at 5.45 g/cm³. Its energy above the most stable polymorph in this dataset is 45 kJ/mol of formula units. As for the volume: 22.00 A^3/atom.

Entry 12:
# ZrScAg2

A relaxed ZrScAg2 crystal (GGA-PBE, Alexandria via LeMat-Bulk).

The space group is I-4m2 (No. 119) and the conventional cell measures 4.165, 4.165 and 9.288 Å, with angles of 90.00, 90.00 and 90.00 degrees. The distinct sites, in fractional coordinates, are Zr at (0.000, 0.000, 0.000), Sc at (0.000, 0.500, 0.250), Ag at (0.000, 0.000, 0.500) and Ag at (0.000, 0.500, 0.750).

As for the energy relative to the elements: 3 meV/atom. The density comes out at 7.25 g/cm³. Its energy above the most stable polymorph in this dataset is 57 kJ/mol of formula units. As for the volume: 20.14 A^3/atom.

Entry 13:
# ZrScAg2

A relaxed ZrScAg2 crystal (GGA-PBE, Alexandria via LeMat-Bulk).

The space group is F-43m (No. 216) and the conventional cell measures 6.803, 6.803 and 6.803 Å, with angles of 90.00, 90.00 and 90.00 degrees. The distinct sites, in fractional coordinates, are Zr at (0.000, 0.000, 0.000), Sc at (0.250, 0.250, 0.750), Ag at (0.000, 0.000, 0.500) and Ag at (0.250, 0.250, 0.250).

As for the energy relative to the elements: 84 meV/atom. The density comes out at 7.42 g/cm³. Its energy above the most stable polymorph in this dataset is 88 kJ/mol of formula units. As for the volume: 19.68 A^3/atom.